[1]
# InGe2S4, optimized geometry, DFT GGA-PBE
# **D(E_F)**: 0.498 states/eV per atom
# **Crystal system**: tetragonal
# **Total energy**: -4.27 eV/atom
# **E_form (uncorrected)**: -0.20 eV/atom
data_InGe2S4
_chemical_formula_sum 'In1 Ge2 S4'
_cell_length_a 6.410
_cell_length_b 6.410
_cell_length_c 6.410
_cell_angle_alpha 102.63
_cell_angle_beta 102.63
_cell_angle_gamma 124.23
_space_group_name_H-M_alt 'P 1'
_space_group_IT_number 1
_space_group_name_Hall 'P 1'
loop_
_atom_site_label
_atom_site_type_symbol
_atom_site_fract_x
_atom_site_fract_y
_atom_site_fract_z
_atom_site_occupancy
In1 In 0.000 0.000 0.000 1
Ge1 Ge 0.250 0.750 0.500 1
Ge2 Ge 0.750 0.250 0.500 1
S1 S 0.174 0.364 0.538 1
S2 S 0.364 0.826 0.190 1
S3 S 0.636 0.174 0.810 1
S4 S 0.826 0.636 0.462 1

[2]
# InGeSeS, optimized geometry, DFT GGA-PBE
# **D(E_F)**: 0.193 states/eV per atom
# **Crystal system**: monoclinic
# **Total energy**: -3.98 eV/atom
# **E_form (uncorrected)**: -0.24 eV/atom
data_InGeSeS
_chemical_formula_sum 'In1 Ge1 Se1 S1'
_cell_length_a 3.825
_cell_length_b 3.825
_cell_length_c 8.515
_cell_angle_alpha 102.67
_cell_angle_beta 102.67
_cell_angle_gamma 73.13
_space_group_name_H-M_alt 'P 1'
_space_group_IT_number 1
_space_group_name_Hall 'P 1'
loop_
_atom_site_label
_atom_site_type_symbol
_atom_site_fract_x
_atom_site_fract_y
_atom_site_fract_z
_atom_site_occupancy
In1 In 0.000 0.000 0.000 1
Ge1 Ge 0.199 0.199 0.329 1
Se1 Se 0.853 0.853 0.441 1
S1 S 0.583 0.583 0.872 1

[3]
# In4SnGeS8, optimized geometry, DFT GGA-PBE
# **D(E_F)**: 0.330 states/eV per atom
# **Crystal system**: trigonal
# **Total energy**: -4.18 eV/atom
# **E_form (uncorrected)**: -0.42 eV/atom
data_In4SnGeS8
_chemical_formula_sum 'In4 Sn1 Ge1 S8'
_cell_length_a 8.033
_cell_length_b 8.033
_cell_length_c 8.033
_cell_angle_alpha 58.24
_cell_angle_beta 58.24
_cell_angle_gamma 58.24
_space_group_name_H-M_alt 'P 1'
_space_group_IT_number 1
_space_group_name_Hall 'P 1'
loop_
_atom_site_label
_atom_site_type_symbol
_atom_site_fract_x
_atom_site_fract_y
_atom_site_fract_z
_atom_site_occupancy
In1 In 0.000 0.000 0.000 1
In2 In 0.382 0.382 0.872 1
In3 In 0.382 0.872 0.382 1
In4 In 0.872 0.382 0.382 1
Sn1 Sn 0.384 0.384 0.384 1
Ge1 Ge 0.759 0.759 0.759 1
S1 S 0.133 0.133 0.604 1
S2 S 0.133 0.604 0.133 1
S3 S 0.138 0.138 0.138 1
S4 S 0.143 0.638 0.638 1
S5 S 0.604 0.133 0.133 1
S6 S 0.614 0.614 0.614 1
S7 S 0.638 0.143 0.638 1
S8 S 0.638 0.638 0.143 1